No. 1
Entry from Alexandria: a relaxed structure of AlOsBr2 (PBE).

Unit cell a=6.5481 b=6.5481 c=11.0309 alpha=90.00 beta=90.00 gamma=90.00
Last column: nearest neighbours and their distance in Å.
Space group I-42d (No. 122)
Asymmetric unit:
Al: 0.0000 0.0000 0.0000 [4 per cell]  4 Br 3.01
Os: 0.0000 0.0000 0.5000 [4 per cell]  4 Br 2.43
Br: 0.1766 0.2500 0.6250 [8 per cell]  2 Os 2.43

Calculated volume ... 29.56 Å³ per atom
Crystal system ... tetragonal


No. 2
Entry from Alexandria: a relaxed structure of AlOsBr2 (PBE).

Unit cell a=6.6813 b=6.6813 c=6.6813 alpha=90.00 beta=90.00 gamma=90.00
Last column: nearest neighbours and their distance in Å.
Space group Fm-3m (No. 225)
Asymmetric unit:
Al: 0.0000 0.0000 0.0000 [4 per cell]  8 Br 2.89
Os: 0.0000 0.0000 0.5000 [4 per cell]  8 Br 2.89
Br: 0.2500 0.2500 0.2500 [8 per cell]  4 Os 2.89, 4 Al 2.89

Calculated volume ... 18.64 Å³ per atom
Crystal system ... cubic


No. 3
Entry from Alexandria: a relaxed structure of Al2OsBr (PBE).

Unit cell a=3.2079 b=3.2079 c=23.5245 alpha=90.00 beta=90.00 gamma=120.00
Last column: nearest neighbours and their distance in Å.
Space group R-3m (No. 166, hexagonal axes)
Asymmetric unit:
Al: 0.0000 0.0000 0.2397 [6 per cell]  3 Os 2.53
Os: 0.0000 0.0000 0.5000 [3 per cell]  6 Al 2.53
Br: 0.0000 0.0000 0.0000 [3 per cell]  6 Al 2.88, 6 Br 3.21

Calculated volume ... 17.47 Å³ per atom
Crystal system ... trigonal


No. 4
Entry from Alexandria: a relaxed structure of AlOsBr2 (PBE).

Unit cell a=3.0726 b=4.4510 c=5.6219 alpha=90.00 beta=90.00 gamma=90.00
Last column: nearest neighbours and their distance in Å.
Space group Pmmm (No. 47)
Asymmetric unit:
Al: 0.0000 0.0000 0.0000 [1 per cell]  4 Br 2.70
Os: 0.5000 0.0000 0.5000 [1 per cell]  4 Br 2.70
Br: 0.0000 0.5000 0.5000 [1 per cell]  4 Os 2.70
Br: 0.5000 0.5000 0.0000 [1 per cell]  4 Al 2.70

Calculated volume ... 19.22 Å³ per atom
Crystal system ... orthorhombic


No. 5
Entry from Alexandria: a relaxed structure of Al2OsBr (PBE).

Unit cell a=6.0420 b=6.0420 c=11.4565 alpha=90.00 beta=90.00 gamma=90.00
Last column: nearest neighbours and their distance in Å.
Space group I-42d (No. 122)
Asymmetric unit:
Al: 0.1939 0.2500 0.1250 [8 per cell]  2 Os 2.39
Os: 0.0000 0.0000 0.0000 [4 per cell]  4 Al 2.39
Br: 0.0000 0.0000 0.5000 [4 per cell]  4 Al 2.78

Calculated volume ... 26.14 Å³ per atom
Crystal system ... tetragonal


No. 6
Entry from Alexandria: a relaxed structure of AlOsBr2 (PBE).

Unit cell a=3.0870 b=3.0870 c=29.5881 alpha=90.00 beta=90.00 gamma=120.00
Last column: nearest neighbours and their distance in Å.
Space group R-3m (No. 166, hexagonal axes)
Asymmetric unit:
Al: 0.0000 0.0000 0.0000 [3 per cell]  6 Al 3.09, 6 Br 3.12
Os: 0.0000 0.0000 0.5000 [3 per cell]  2 Br 2.38
Br: 0.0000 0.0000 0.4197 [6 per cell]  1 Os 2.38

Calculated volume ... 20.35 Å³ per atom
Crystal system ... trigonal


No. 7
Entry from Alexandria: a relaxed structure of AlOsBr2 (PBE).

Unit cell a=3.8975 b=3.1265 c=7.9747 alpha=90.00 beta=100.21 gamma=90.00
Last column: nearest neighbours and their distance in Å.
Space group Pm (No. 6)
Asymmetric unit:
Al: 0.0000 0.0000 0.0000 [1 per cell]  4 Os 2.55-2.59, 2 Br 2.77
Os: 0.5332 0.5000 0.0770 [1 per cell]  4 Al 2.55-2.59, 3 Br 2.57-2.59
Br: 0.2479 0.5000 0.7612 [1 per cell]  1 Os 2.57, 2 Al 2.77
Br: 0.6411 0.0000 0.3395 [1 per cell]  2 Os 2.59

Calculated volume ... 23.91 Å³ per atom
Crystal system ... monoclinic


No. 8
Entry from Alexandria: a relaxed structure of AlOsBr2 (PBE).

Unit cell a=3.0714 b=8.5110 c=9.5728 alpha=90.00 beta=90.00 gamma=90.00
Last column: nearest neighbours and their distance in Å.
Space group Imm2 (No. 44)
Asymmetric unit:
Al: 0.0000 0.0000 0.0000 [2 per cell]  2 Br 2.48, 2 Os 2.52
Os: 0.0000 0.5000 0.7093 [2 per cell]  2 Br 2.44, 2 Al 2.52
Br: 0.0000 0.0000 0.4080 [2 per cell]  2 Os 2.44
Br: 0.0000 0.5000 0.2969 [2 per cell]  2 Al 2.48

Calculated volume ... 31.28 Å³ per atom
Crystal system ... orthorhombic


Number 1: formation energy (no corrections) 1.023 eV/atom. Number 2: formation energy (no corrections) 1.158 eV/atom. Number 3: formation energy (no corrections) -0.078 eV/atom. Number 4: formation energy (no corrections) 0.872 eV/atom. Number 5: formation energy (no corrections) 0.495 eV/atom. Number 6: formation energy (no corrections) 0.672 eV/atom. Number 7: formation energy (no corrections) 0.036 eV/atom. Number 8: formation energy (no corrections) 0.411 eV/atom.